P) This record from Alexandria describes an optimized crystal structure of Nd8TmMg2. The functional is PBE.

Cell: 17.9490 5.1471 8.2119 Å, 90.00 108.14 90.00°
With the nearest neighbours (Å) after each atom.
Space group C2/m (No. 12)
Unique sites:
Nd 0.0498 0.0000 0.2350  1 Mg 3.53, 9 Nd 3.55-3.71, 2 Tm 3.66
Nd 0.0941 0.5000 0.9587  3 Mg 3.50-3.52, 8 Nd 3.61-3.73, 1 Tm 3.62
Nd 0.1398 0.0000 0.6961  3 Mg 3.44-3.49, 7 Nd 3.60-3.64, 2 Tm 3.61
Nd 0.1840 0.5000 0.4336  3 Mg 3.41-3.81, 8 Nd 3.44-3.73, 1 Tm 3.51
Tm 0.0000 0.5000 0.5000  12 Nd 3.51-3.66
Mg 0.2272 0.0000 0.1335  10 Nd 3.41-3.81, 2 Mg 3.64

Q) This record from Alexandria describes an optimized crystal structure of Nd8TmMg2. The functional is PBE.

Cell: 9.0044 15.9226 5.8227 Å, 90.00 117.33 90.00°
With the nearest neighbours (Å) after each atom.
Space group C2/m (No. 12)
Unique sites:
Nd 0.0000 0.2101 0.0000  2 Mg 3.29, 1 Tm 3.35, 2 Nd 3.65
Nd 0.0912 0.5000 0.7946  1 Nd 3.05, 1 Tm 3.31
Nd 0.2100 0.1130 0.6382  2 Mg 3.32-3.51, 5 Nd 3.36-3.65
Tm 0.0000 0.0000 0.0000  4 Nd 3.31-3.35
Mg 0.0000 0.3068 0.5000  8 Nd 3.29-3.51

From most stable to least stable, the computed energies give P), Q).

P) This record from Alexandria describes an optimized crystal structure of Nd12Tm6Mg. The functional is PBE.

Cell: 12.0744 12.0744 15.2525 Å, 90.00 90.00 120.00°
With the nearest neighbours (Å) after each atom.
Space group R-3 (No. 148, hexagonal axes)
Unique sites:
Nd 0.0061 0.8285 0.3122  4 Tm 3.50-3.75, 5 Nd 3.51-3.87, 1 Mg 3.56
Nd 0.0464 0.2001 0.9152  3 Tm 3.35-3.56, 4 Nd 3.39-3.68
Tm 0.0228 0.5906 0.1912  7 Nd 3.35-3.75, 1 Mg 3.41, 2 Tm 3.47
Mg 0.0000 0.0000 0.5000  6 Tm 3.41, 6 Nd 3.56

Q) This record from Alexandria describes an optimized crystal structure of Nd12Tm6Mg. The functional is PBE.

Cell: 13.1444 13.1444 12.9461 Å, 90.00 90.00 120.00°
With the nearest neighbours (Å) after each atom.
Space group R-3m (No. 166, hexagonal axes)
Unique sites:
Nd 0.0000 0.2603 0.0000  4 Tm 3.39-3.53, 6 Nd 3.42-3.66, 1 Mg 3.42
Nd 0.0578 0.5289 0.1110  5 Nd 3.16-3.52
Tm 0.0893 0.1785 0.7722  4 Nd 3.39-3.53, 2 Tm 3.52, 1 Mg 3.58
Mg 0.0000 0.0000 0.0000  6 Nd 3.42, 6 Tm 3.58

From most stable to least stable, the computed energies give P), Q).

P) This record from Alexandria describes an optimized crystal structure of NdTmMgZn. The functional is PBE.

Cell: 3.6085 3.6085 7.8907 Å, 90.00 90.00 90.00°
With the nearest neighbours (Å) after each atom.
Space group P4mm (No. 99)
Unique sites:
Nd 0.0000 0.0000 0.0000  4 Zn 3.21, 4 Mg 3.43, 1 Tm 3.52
Tm 0.0000 0.0000 0.4467  4 Zn 3.00, 4 Mg 3.29
Mg 0.5000 0.5000 0.7094  4 Tm 3.29, 4 Nd 3.43, 4 Mg 3.61, 1 Zn 3.65
Zn 0.5000 0.5000 0.2466  4 Tm 3.00, 4 Nd 3.21

Q) This record from Alexandria describes an optimized crystal structure of NdTmMgZn. The functional is PBE.

Cell: 7.4085 7.4085 7.4085 Å, 90.00 90.00 90.00°
With the nearest neighbours (Å) after each atom.
Space group F-43m (No. 216)
Unique sites:
Nd 0.0000 0.0000 0.0000  4 Mg 3.21, 4 Zn 3.21
Tm 0.0000 0.0000 0.5000  4 Zn 3.21, 4 Mg 3.21
Mg 0.2500 0.2500 0.2500  4 Nd 3.21, 4 Tm 3.21
Zn 0.2500 0.2500 0.7500  4 Nd 3.21, 4 Tm 3.21

From most stable to least stable, the computed energies give P), Q).

P) This record from Alexandria describes an optimized crystal structure of Nd4Y4Mg. The functional is PBE.

Cell: 12.6036 14.6306 6.5260 Å, 90.00 90.00 90.00°
With the nearest neighbours (Å) after each atom.
Space group Cmcm (No. 63)
Unique sites:
Nd 0.1399 0.0000 0.0000  3 Nd 3.26-3.53, 4 Y 3.51-3.56
Nd 0.2321 0.2986 0.2500  1 Mg 3.31, 3 Y 3.47-3.63, 2 Nd 3.59
Y 0.0000 0.2070 0.5083  2 Y 3.15-3.37, 1 Mg 3.34, 2 Nd 3.51
Y 0.1328 0.4084 0.7500  1 Mg 3.21, 1 Y 3.35, 3 Nd 3.47-3.56
Mg 0.0000 0.4042 0.2500  4 Y 3.21-3.34, 2 Nd 3.31

Q) This record from Alexandria describes an optimized crystal structure of Nd4Y4Mg. The functional is PBE.

Cell: 10.7216 10.7216 5.1073 Å, 90.00 90.00 90.00°
With the nearest neighbours (Å) after each atom.
Space group I4/mmm (No. 139)
Unique sites:
Nd 0.1659 0.1659 0.0000  4 Nd 3.56-3.61, 6 Y 3.58-3.59, 2 Mg 3.58
Y 0.0000 0.3326 0.5000  1 Mg 3.57, 6 Nd 3.58-3.59, 5 Y 3.59-3.60
Mg 0.0000 0.0000 0.5000  4 Y 3.57, 8 Nd 3.58

From most stable to least stable, the computed energies give Q), P).

P) This record from Alexandria describes an optimized crystal structure of Nd3Y4Mg. The functional is PBE.

Cell: 26.1164 3.4519 5.9138 Å, 90.00 96.74 90.00°
With the nearest neighbours (Å) after each atom.
Space group C2/m (No. 12)
Unique sites:
Nd 0.0000 0.0000 0.0000  2 Y 3.41, 4 Mg 3.42, 2 Nd 3.45
Nd 0.1501 0.0000 0.2112  3 Y 3.21-3.43, 2 Nd 3.45
Y 0.1008 0.0000 0.6831  3 Nd 3.21-3.41, 2 Mg 3.23, 4 Y 3.45-3.49
Y 0.2176 0.5000 0.7355  3 Nd 3.43-3.80, 8 Y 3.45-3.84
Mg 0.0000 0.5000 0.5000  4 Y 3.23, 4 Nd 3.42, 2 Mg 3.45

Q) This record from Alexandria describes an optimized crystal structure of Nd3Y4Mg. The functional is PBE.

Cell: 11.4219 7.3018 6.2440 Å, 90.00 90.00 90.00°
With the nearest neighbours (Å) after each atom.
Space group Pmn2_1 (No. 31)
Unique sites:
Nd 0.0000 0.1232 0.0000  8 Y 3.50-3.77, 2 Nd 3.56, 2 Mg 3.60-3.67
Nd 0.2479 0.6218 0.6524  2 Mg 3.49-3.58, 7 Y 3.52-3.69, 3 Nd 3.56-3.59
Y 0.0000 0.6289 0.9859  6 Nd 3.52-3.69, 4 Y 3.52-3.64, 2 Mg 3.58-3.66
Y 0.0000 0.8686 0.4753  4 Nd 3.50-3.77, 6 Y 3.51-3.64, 2 Mg 3.59-3.72
Y 0.2428 0.1263 0.6409  1 Mg 3.45, 5 Y 3.51-3.63, 6 Nd 3.56-3.69
Mg 0.0000 0.3776 0.4935  6 Y 3.45-3.72, 6 Nd 3.49-3.67

From most stable to least stable, the computed energies give Q), P).

P) This record from Alexandria describes an optimized crystal structure of NdYMg3. The functional is PBE.

Cell: 6.4006 15.2931 5.8720 Å, 90.00 90.00 90.00°
With the nearest neighbours (Å) after each atom.
Space group Cmcm (No. 63)
Unique sites:
Nd 0.0000 0.1037 0.2500  4 Mg 3.42, 2 Y 3.47
Y 0.0000 0.3083 0.7500  8 Mg 3.07-3.41
Mg 0.0000 0.5000 0.0000  6 Mg 2.94-3.01, 2 Y 3.28
Mg 0.2409 0.3605 0.2500  4 Mg 3.01-3.32, 1 Y 3.07

Q) This record from Alexandria describes an optimized crystal structure of NdYMg3. The functional is PBE.

Cell: 20.2293 10.7046 5.2565 Å, 90.00 105.04 90.00°
With the nearest neighbours (Å) after each atom.
Space group C2/c (No. 15)
Unique sites:
Nd 0.1987 0.1257 0.4492  9 Mg 3.31-3.62, 1 Nd 3.33
Y 0.0000 0.1278 0.2500  8 Mg 3.23-3.48
Y 0.0000 0.3691 0.7500  8 Mg 3.24-3.38
Mg 0.0960 0.1224 0.8463  1 Mg 3.10, 4 Y 3.23-3.27, 3 Nd 3.31-3.33
Mg 0.1077 0.3869 0.3565  3 Mg 3.10-3.19, 1 Nd 3.31, 3 Y 3.35-3.38
Mg 0.1900 0.3553 0.9387  5 Mg 3.10-3.25, 2 Nd 3.41-3.42

From most stable to least stable, the computed energies give Q), P).

P) This record from Alexandria describes an optimized crystal structure of Nd2YMg2. The functional is PBE.

Cell: 3.8424 28.3865 5.4950 Å, 90.00 90.00 90.00°
With the nearest neighbours (Å) after each atom.
Space group Cmcm (No. 63)
Unique sites:
Nd 0.0000 0.0448 0.2500  8 Mg 3.31-3.41
Nd 0.0000 0.2363 0.2500  2 Mg 3.35, 4 Nd 3.44, 2 Y 3.70
Y 0.0000 0.1492 0.7500  6 Mg 3.31-3.36, 2 Nd 3.70
Mg 0.0000 0.3603 0.7500  4 Nd 3.31-3.35, 4 Y 3.36, 2 Mg 3.66
Mg 0.0000 0.4457 0.2500  2 Y 3.31, 6 Nd 3.36-3.41, 2 Mg 3.66

Q) This record from Alexandria describes an optimized crystal structure of Nd2YMg2. The functional is PBE.

Cell: 5.2616 7.0912 8.2711 Å, 90.00 90.00 90.00°
With the nearest neighbours (Å) after each atom.
Space group Immm (No. 71)
Unique sites:
Nd 0.0000 0.0000 0.1940  1 Nd 3.21, 6 Mg 3.27-3.42
Y 0.0000 0.5000 0.0000  4 Mg 3.35, 4 Nd 3.65
Mg 0.0000 0.2915 0.5000  1 Mg 2.96, 2 Nd 3.27

From most stable to least stable, the computed energies give P), Q).

P) This record from Alexandria describes an optimized crystal structure of Nd8Y2Mg. The functional is PBE.

Cell: 16.5009 6.8001 6.8386 Å, 90.00 101.28 90.00°
With the nearest neighbours (Å) after each atom.
Space group C2/m (No. 12)
Unique sites:
Nd 0.0801 0.2409 0.3849  1 Mg 3.23, 5 Nd 3.28-3.55, 1 Y 3.51
Nd 0.0984 0.0000 0.9206  6 Nd 3.32-3.65, 1 Y 3.72
Nd 0.2468 0.5000 0.3245  5 Nd 3.32-3.55, 2 Y 3.51-3.62
Y 0.1840 0.5000 0.8032  9 Nd 3.51-3.83, 1 Mg 3.55
Mg 0.0000 0.5000 0.0000  4 Nd 3.23, 2 Y 3.55

Q) This record from Alexandria describes an optimized crystal structure of Nd8Y2Mg. The functional is PBE.

Cell: 5.6750 7.7562 17.2842 Å, 90.00 90.00 90.00°
With the nearest neighbours (Å) after each atom.
Space group Immm (No. 71)
Unique sites:
Nd 0.0000 0.0000 0.1760  4 Y 3.61-3.89, 8 Nd 3.65-3.70
Nd 0.0000 0.2183 0.3661  1 Mg 3.18, 1 Nd 3.39, 2 Y 3.47
Nd 0.0000 0.2665 0.0000  2 Mg 3.51, 7 Nd 3.62-3.68, 2 Y 3.82
Y 0.0000 0.5000 0.1949  10 Nd 3.47-3.82
Mg 0.0000 0.5000 0.5000  8 Nd 3.18-3.51

From most stable to least stable, the computed energies give Q), P).

P) This record from Alexandria describes an optimized crystal structure of Nd3Y3Mg. The functional is PBE.

Cell: 9.5545 9.5545 5.7581 Å, 90.00 90.00 120.00°
With the nearest neighbours (Å) after each atom.
Space group P6_3/m (No. 176)
Unique sites:
Nd 0.0612 0.2465 0.2500  1 Mg 3.53, 5 Y 3.54-3.70, 6 Nd 3.58-3.68
Y 0.1036 0.4806 0.7500  4 Y 3.50-3.62, 3 Mg 3.52-3.68, 5 Nd 3.54-3.70
Mg 0.3333 0.6667 0.2500  9 Y 3.52-3.68, 3 Nd 3.53

Q) This record from Alexandria describes an optimized crystal structure of Nd3Y3Mg. The functional is PBE.

Cell: 6.2533 6.2533 42.5817 Å, 90.00 90.00 120.00°
With the nearest neighbours (Å) after each atom.
Space group R-3 (No. 148, hexagonal axes)
Unique sites:
Nd 0.9998 0.3334 0.1295  3 Y 3.55-3.56, 9 Nd 3.61-3.79
Y 0.0001 0.3361 0.9383  2 Mg 3.35, 3 Nd 3.55-3.56, 6 Y 3.59-3.64
Mg 0.0000 0.0000 0.3333  6 Y 3.35, 3 Mg 3.61

From most stable to least stable, the computed energies give P), Q).

P) This record from Alexandria describes an optimized crystal structure of Nd2YMg. The functional is PBE.

Cell: 7.9609 7.9609 7.9609 Å, 90.00 90.00 90.00°
With the nearest neighbours (Å) after each atom.
Space group Fm-3m (No. 225)
Unique sites:
Nd 0.2500 0.2500 0.2500  4 Mg 3.45, 4 Y 3.45
Y 0.0000 0.0000 0.0000  8 Nd 3.45
Mg 0.0000 0.0000 0.5000  8 Nd 3.45

Q) This record from Alexandria describes an optimized crystal structure of Nd2YMg. The functional is PBE.

Cell: 3.5738 3.4958 20.7075 Å, 90.00 90.00 90.00°
With the nearest neighbours (Å) after each atom.
Space group Amm2 (No. 38)
Unique sites:
Nd 0.0000 0.0000 0.0000  4 Mg 3.42, 4 Nd 3.50-3.57, 2 Y 3.56
Nd 0.0000 0.0000 0.2271  4 Mg 3.45, 4 Nd 3.50-3.57, 4 Y 3.59
Y 0.5000 0.0000 0.8515  4 Y 3.50-3.57, 6 Nd 3.56-3.59
Mg 0.5000 0.0000 0.6125  8 Nd 3.42-3.45, 4 Mg 3.50-3.57

From most stable to least stable, the computed energies give P), Q).